ZrTaPt2: relaxed, GGA-PBE.

```
ZrTaPt2
1.0
-1.9085 4.4600 1.2964
-3.5856 3.4101 -0.8541
-3.3914 -1.6305 3.4409
Pt Ta Zr
2 1 1
direct
0.0022 0.0022 0.0261
0.7502 0.7502 0.7138
0.4926 0.4926 0.5497
0.2550 0.2550 0.2104
```

## Properties
- ΔE_f (eV/atom) = -0.67
- SG = No. 8